Computed, not measured: an optimized crystal structure of LiZnCr2 at the GGA-PBE level of DFT.

a = 4.9672 Å, b = 4.9672 Å, c = 2.4248 Å
α = 95.59°, β = 95.59°, γ = 123.37°
Closest atoms and distances in Å follow each position.
Atoms (fractional coordinates):
Li: 0.0000 0.0000 0.0000  2 Zn 2.36, 2 Li 2.42
Zn: 0.5000 0.5000 0.0000  2 Li 2.36, 2 Zn 2.42
Cr: 0.0000 0.5000 0.5000  4 Cr 2.36-2.42
Cr: 0.5000 0.0000 0.5000  4 Cr 2.36-2.42

SG: C2/m
ρ in Mg/m³: 6.0
Formation enthalpy at 0 K in eV per atom: 0.32
Fermi-level density of states in states/eV/f.u.: 2.53
Uncorrected energy in Ry/atom: -0.38864